Record 1
A relaxed AgSb2Pt crystal, computed with PBE.

Values from the calculation:
energy above the lowest structure with this stoichiometry	0.360	eV per atom

a = 7.0133 Å, b = 7.0133 Å, c = 7.0133 Å
α = 90.00°, β = 90.00°, γ = 90.00°
Last column: nearest neighbours and their distance in Å.
Space group F-43m (No. 216)
One atom of each set of equivalent atoms:
1 Ag 0.0000 0.0000 0.0000  4 Pt 3.04, 4 Sb 3.04
2 Sb 0.0000 0.0000 0.5000  4 Sb 3.04, 4 Pt 3.04
3 Sb 0.2500 0.2500 0.7500  4 Ag 3.04, 4 Sb 3.04
4 Pt 0.2500 0.2500 0.2500  4 Sb 3.04, 4 Ag 3.04



Record 2
A relaxed AgSb2Pt crystal, computed with PBE.

Values from the calculation:
energy above the lowest structure with this stoichiometry	0.121	eV per atom

a = 4.0203 Å, b = 4.0203 Å, c = 20.0101 Å
α = 90.00°, β = 90.00°, γ = 120.00°
Last column: nearest neighbours and their distance in Å.
Space group R3m (No. 160, hexagonal axes)
One atom of each set of equivalent atoms:
1 Ag 0.0000 0.0000 0.0000  3 Pt 2.77, 3 Sb 2.77
2 Sb 0.0000 0.0000 0.2574  3 Ag 2.77
3 Sb 0.0000 0.0000 0.4727  3 Pt 2.65
4 Pt 0.0000 0.0000 0.7424  3 Sb 2.65, 3 Ag 2.77



Record 3
A relaxed ScAg2SbPt crystal, computed with PBE.

a = 5.1289 Å, b = 5.1289 Å, c = 4.7856 Å
α = 90.00°, β = 90.00°, γ = 90.00°
Last column: nearest neighbours and their distance in Å.
Space group P4/mmm (No. 123)
One atom of each set of equivalent atoms:
1 Sc 0.0000 0.0000 0.0000  2 Pt 2.39, 4 Ag 2.56
2 Ag 0.0000 0.5000 0.0000  2 Sc 2.56
3 Sb 0.5000 0.5000 0.5000  8 Ag 3.51, 4 Pt 3.63
4 Pt 0.0000 0.0000 0.5000  2 Sc 2.39



Record 4
A relaxed ScAgSbPt2 crystal, computed with PBE.

a = 4.9736 Å, b = 4.9736 Å, c = 4.9127 Å
α = 90.00°, β = 90.00°, γ = 90.00°
Last column: nearest neighbours and their distance in Å.
Space group P4/mmm (No. 123)
One atom of each set of equivalent atoms:
1 Sc 0.0000 0.0000 0.0000  8 Pt 3.50, 4 Sb 3.52
2 Ag 0.5000 0.5000 0.5000  2 Sb 2.46, 4 Pt 2.49
3 Sb 0.5000 0.5000 0.0000  2 Ag 2.46
4 Pt 0.0000 0.5000 0.5000  2 Ag 2.49



Record 5
A relaxed TaAgSb2Pt crystal, computed with PBE.

a = 5.1017 Å, b = 5.1017 Å, c = 4.9567 Å
α = 90.00°, β = 90.00°, γ = 90.00°
Last column: nearest neighbours and their distance in Å.
Space group P4/mmm (No. 123)
One atom of each set of equivalent atoms:
1 Ta 0.0000 0.0000 0.0000  8 Sb 3.56, 4 Ag 3.61
2 Ag 0.5000 0.5000 0.0000  2 Pt 2.48
3 Sb 0.0000 0.5000 0.5000  2 Pt 2.55
4 Pt 0.5000 0.5000 0.5000  2 Ag 2.48, 4 Sb 2.55



Record 6
A relaxed TcAg2SbPt crystal, computed with PBE.

a = 5.0842 Å, b = 5.0842 Å, c = 4.9771 Å
α = 90.00°, β = 90.00°, γ = 90.00°
Last column: nearest neighbours and their distance in Å.
Space group P4/mmm (No. 123)
One atom of each set of equivalent atoms:
1 Tc 0.0000 0.0000 0.0000  8 Ag 3.56, 4 Pt 3.60
2 Ag 0.0000 0.5000 0.5000  2 Sb 2.54
3 Sb 0.5000 0.5000 0.5000  2 Pt 2.49, 4 Ag 2.54
4 Pt 0.5000 0.5000 0.0000  2 Sb 2.49



Record 7
A relaxed AgSbTe2Pt crystal, computed with PBE.

Values from the calculation:
energy above the lowest structure with this stoichiometry	0.593	eV per atom

a = 5.3342 Å, b = 5.3342 Å, c = 5.2244 Å
α = 90.00°, β = 90.00°, γ = 90.00°
Last column: nearest neighbours and their distance in Å.
Space group P4/mmm (No. 123)
One atom of each set of equivalent atoms:
1 Ag 0.0000 0.0000 0.0000  2 Sb 2.61, 4 Te 2.67
2 Sb 0.0000 0.0000 0.5000  2 Ag 2.61
3 Te 0.0000 0.5000 0.0000  2 Ag 2.67
4 Pt 0.5000 0.5000 0.5000  8 Te 3.73, 4 Sb 3.77



Record 8
A relaxed AgSbTe2Pt crystal, computed with PBE.

Values from the calculation:
energy above the lowest structure with this stoichiometry	0.000	eV per atom

a = 5.5093 Å, b = 5.5093 Å, c = 5.0603 Å
α = 90.00°, β = 90.00°, γ = 90.00°
Last column: nearest neighbours and their distance in Å.
Space group P4/mmm (No. 123)
One atom of each set of equivalent atoms:
1 Ag 0.0000 0.0000 0.0000  8 Te 3.74, 4 Sb 3.90
2 Sb 0.5000 0.5000 0.0000  2 Pt 2.53
3 Te 0.0000 0.5000 0.5000  2 Pt 2.75
4 Pt 0.5000 0.5000 0.5000  2 Sb 2.53, 4 Te 2.75



Record 9
A relaxed Zr2AgSbPt crystal, computed with PBE.

a = 5.1674 Å, b = 5.1674 Å, c = 4.9964 Å
α = 90.00°, β = 90.00°, γ = 90.00°
Last column: nearest neighbours and their distance in Å.
Space group P4/mmm (No. 123)
One atom of each set of equivalent atoms:
1 Zr 0.0000 0.5000 0.0000  2 Pt 2.58
2 Ag 0.0000 0.0000 0.5000  8 Zr 3.59, 4 Sb 3.65
3 Sb 0.5000 0.5000 0.5000  2 Pt 2.50
4 Pt 0.5000 0.5000 0.0000  2 Sb 2.50, 4 Zr 2.58



Record 10
A relaxed Sc2AgPt2 crystal, computed with PBE.

Values from the calculation:
energy above the lowest structure with this stoichiometry	0.000	eV per atom
E_form	-0.95	eV per atom

a = 7.5568 Å, b = 7.5568 Å, c = 3.2968 Å
α = 90.00°, β = 90.00°, γ = 90.00°
Last column: nearest neighbours and their distance in Å.
Space group P4/mbm (No. 127)
One atom of each set of equivalent atoms:
1 Sc 0.1633 0.3367 0.0000  6 Pt 2.72-2.80
2 Ag 0.0000 0.0000 0.5000  4 Pt 2.94, 8 Sc 3.27
3 Pt 0.1346 0.6346 0.5000  6 Sc 2.72-2.80, 1 Pt 2.88, 2 Ag 2.94



Record 11
A relaxed ScAgPt crystal, computed with PBE.

Values from the calculation:
energy above the lowest structure with this stoichiometry	0.052	eV per atom
E_form	-0.73	eV per atom

a = 3.4816 Å, b = 3.4816 Å, c = 8.9680 Å
α = 90.00°, β = 90.00°, γ = 90.00°
Last column: nearest neighbours and their distance in Å.
Space group I4mm (No. 107)
One atom of each set of equivalent atoms:
1 Sc 0.0000 0.0000 0.0000  4 Pt 2.77, 5 Ag 2.87-2.94
2 Ag 0.0000 0.0000 0.3202  5 Sc 2.87-2.94, 5 Pt 2.89-2.93
3 Pt 0.0000 0.0000 0.6428  4 Sc 2.77, 5 Ag 2.89-2.93



Record 12
A relaxed ScAg2Pt crystal, computed with PBE.

Values from the calculation:
E_form	-0.01	eV per atom

a = 2.9336 Å, b = 2.9336 Å, c = 28.8431 Å
α = 90.00°, β = 90.00°, γ = 120.00°
Last column: nearest neighbours and their distance in Å.
Space group R-3m (No. 166, hexagonal axes)
One atom of each set of equivalent atoms:
1 Sc 0.0000 0.0000 0.0000  6 Sc 2.93, 6 Ag 2.99
2 Ag 0.0000 0.0000 0.2481  3 Pt 2.90, 6 Ag 2.93, 3 Sc 2.99
3 Pt 0.0000 0.0000 0.5000  6 Ag 2.90, 6 Pt 2.93



Record 13
A relaxed Sc4AgPt3 crystal, computed with PBE.

Values from the calculation:
E_form	-1.02	eV per atom

a = 4.7013 Å, b = 4.7013 Å, c = 23.0864 Å
α = 90.00°, β = 90.00°, γ = 120.00°
Last column: nearest neighbours and their distance in Å.
Space group R-3m (No. 166, hexagonal axes)
One atom of each set of equivalent atoms:
1 Sc 0.0000 0.0000 0.1221  5 Pt 2.82-2.89, 3 Ag 2.90
2 Sc 0.0000 0.0000 0.3721  7 Pt 2.86-2.93, 1 Ag 2.95
3 Ag 0.0000 0.0000 0.5000  8 Sc 2.90-2.95
4 Pt 0.0000 0.0000 0.0000  8 Sc 2.82-2.86
5 Pt 0.0000 0.0000 0.2471  8 Sc 2.84-2.93



Record 14
A relaxed Sc7Ag2Pt2 crystal, computed with PBE.

Values from the calculation:
E_form	-0.40	eV per atom

a = 7.5923 Å, b = 10.1139 Å, c = 6.6844 Å
α = 90.00°, β = 90.00°, γ = 90.00°
Last column: nearest neighbours and their distance in Å.
Space group Cmmm (No. 65)
One atom of each set of equivalent atoms:
1 Sc 0.0000 0.0000 0.0000  2 Pt 2.87
2 Sc 0.0000 0.5000 0.2542  2 Pt 2.77, 2 Ag 2.91
3 Sc 0.2500 0.2500 0.2607  2 Pt 2.60
4 Ag 0.1835 0.0000 0.5000  1 Ag 2.79, 6 Sc 2.91-3.03
5 Pt 0.0000 0.2839 0.0000  7 Sc 2.60-2.87



Record 15
A relaxed Sc4AgPt crystal, computed with PBE.

Values from the calculation:
energy above the lowest structure with this stoichiometry	0.744	eV per atom
E_form	0.15	eV per atom

a = 7.8523 Å, b = 7.8523 Å, c = 7.8523 Å
α = 90.00°, β = 90.00°, γ = 90.00°
Last column: nearest neighbours and their distance in Å.
Space group F-43m (No. 216)
One atom of each set of equivalent atoms:
1 Sc 0.1238 0.1238 0.3762  6 Sc 2.75-2.80
2 Ag 0.0000 0.0000 0.0000  12 Sc 3.26, 4 Pt 3.40
3 Pt 0.2500 0.2500 0.7500  12 Sc 3.25, 4 Ag 3.40



Record 16
A relaxed Sc4Ag3Pt crystal, computed with PBE.

Values from the calculation:
E_form	-0.53	eV per atom

a = 3.3887 Å, b = 3.3887 Å, c = 13.6610 Å
α = 90.00°, β = 90.00°, γ = 90.00°
Last column: nearest neighbours and their distance in Å.
Space group P4/mmm (No. 123)
One atom of each set of equivalent atoms:
1 Sc 0.0000 0.0000 0.1157  4 Pt 2.87, 4 Ag 2.98, 1 Sc 3.16
2 Sc 0.0000 0.0000 0.3719  8 Ag 2.95-2.97
3 Ag 0.5000 0.5000 0.2458  8 Sc 2.95-2.98
4 Ag 0.5000 0.5000 0.5000  8 Sc 2.97
5 Pt 0.5000 0.5000 0.0000  8 Sc 2.87



Record 17
A relaxed Sc4AgPt7 crystal, computed with PBE.

Values from the calculation:
E_form	-0.77	eV per atom

a = 10.7720 Å, b = 4.9946 Å, c = 9.8352 Å
α = 90.00°, β = 120.79°, γ = 90.00°
Last column: nearest neighbours and their distance in Å.
Space group C2/m (No. 12)
One atom of each set of equivalent atoms:
1 Sc 0.0914 0.0000 0.2808  8 Pt 2.72-2.93
2 Sc 0.2340 0.5000 0.1510  5 Pt 2.60-2.79
3 Ag 0.0000 0.5000 0.5000  2 Pt 2.50
4 Pt 0.0000 0.0000 0.5000  2 Ag 2.50, 2 Pt 2.73, 2 Sc 2.79
5 Pt 0.0743 0.5000 0.8213  2 Pt 2.69-2.73, 3 Sc 2.79-2.93, 1 Ag 2.84
6 Pt 0.1356 0.0000 0.0303  2 Pt 2.67-2.69, 5 Sc 2.74-2.78
7 Pt 0.2125 0.5000 0.4030  4 Sc 2.60-2.79, 2 Pt 2.73, 1 Ag 2.90



Record 18
A relaxed ScAgPt crystal, computed with PBE.

Values from the calculation:
energy above the lowest structure with this stoichiometry	0.211	eV per atom
E_form	-0.57	eV per atom

a = 4.5743 Å, b = 4.5743 Å, c = 2.9438 Å
α = 90.00°, β = 90.00°, γ = 120.00°
Last column: nearest neighbours and their distance in Å.
Space group P3m1 (No. 156)
One atom of each set of equivalent atoms:
1 Sc 0.0000 0.0000 0.0000  3 Pt 2.79, 3 Ag 2.85, 2 Sc 2.94
2 Ag 0.6667 0.3333 0.3652  3 Pt 2.82, 3 Sc 2.85, 2 Ag 2.94
3 Pt 0.3333 0.6667 0.6980  3 Sc 2.79, 3 Ag 2.82, 2 Pt 2.94



Record 19
A relaxed ScAg2Pt crystal, computed with PBE.

Values from the calculation:
E_form	-0.48	eV per atom

a = 6.5954 Å, b = 6.5954 Å, c = 6.5954 Å
α = 90.00°, β = 90.00°, γ = 90.00°
Last column: nearest neighbours and their distance in Å.
Space group F-43m (No. 216)
One atom of each set of equivalent atoms:
1 Sc 0.0000 0.0000 0.0000  4 Pt 2.86, 4 Ag 2.86
2 Ag 0.0000 0.0000 0.5000  4 Pt 2.86, 4 Ag 2.86
3 Ag 0.2500 0.2500 0.7500  4 Sc 2.86, 4 Ag 2.86
4 Pt 0.2500 0.2500 0.2500  4 Sc 2.86, 4 Ag 2.86



Record 20
A relaxed Sc2AgPt2 crystal, computed with PBE.

Values from the calculation:
energy above the lowest structure with this stoichiometry	0.142	eV per atom
E_form	-0.81	eV per atom

a = 7.8908 Å, b = 7.8908 Å, c = 3.0289 Å
α = 90.00°, β = 90.00°, γ = 90.00°
Last column: nearest neighbours and their distance in Å.
Space group P4/mbm (No. 127)
One atom of each set of equivalent atoms:
1 Sc 0.1530 0.3470 0.0000  6 Pt 2.76-2.77, 2 Ag 2.99, 2 Sc 3.03
2 Ag 0.0000 0.0000 0.0000  4 Sc 2.99, 2 Ag 3.03
3 Pt 0.1404 0.6404 0.5000  6 Sc 2.76-2.77, 2 Pt 3.03



Record 21
A relaxed Sc3Ag2Pt2 crystal, computed with PBE.

Values from the calculation:
E_form	-0.66	eV per atom

a = 8.3354 Å, b = 4.6625 Å, c = 7.5405 Å
α = 90.00°, β = 102.17°, γ = 90.00°
Last column: nearest neighbours and their distance in Å.
Space group C2/m (No. 12)
One atom of each set of equivalent atoms:
1 Sc 0.0000 0.0000 0.0000  2 Pt 2.59
2 Sc 0.2184 0.5000 0.3208  4 Pt 2.69-2.86, 2 Ag 3.01
3 Ag 0.1478 0.5000 0.8544  6 Sc 2.91-3.06, 3 Pt 3.10-3.14
4 Pt 0.0665 0.0000 0.3515  5 Sc 2.59-2.86, 1 Pt 2.70



Record 22
A relaxed Sc2AgPt9 crystal, computed with PBE.

Values from the calculation:
E_form	-0.69	eV per atom

a = 4.0012 Å, b = 4.0012 Å, c = 12.0559 Å
α = 90.00°, β = 90.00°, γ = 90.00°
Last column: nearest neighbours and their distance in Å.
Space group P4/mmm (No. 123)
One atom of each set of equivalent atoms:
1 Sc 0.0000 0.0000 0.1683  12 Pt 2.80-2.85
2 Ag 0.0000 0.0000 0.5000  12 Pt 2.83-2.86
3 Pt 0.0000 0.5000 0.0000  8 Pt 2.82-2.83, 4 Sc 2.85
4 Pt 0.0000 0.5000 0.3306  2 Sc 2.80, 8 Pt 2.83-2.86, 2 Ag 2.86
5 Pt 0.5000 0.5000 0.1650  8 Pt 2.82-2.83, 4 Sc 2.83
6 Pt 0.5000 0.5000 0.5000  4 Ag 2.83, 8 Pt 2.86



Record 23
A relaxed Sc5AgPt4 crystal, computed with PBE.

Values from the calculation:
E_form	-1.05	eV per atom

a = 3.2912 Å, b = 3.2912 Å, c = 16.9548 Å
α = 90.00°, β = 90.00°, γ = 90.00°
Last column: nearest neighbours and their distance in Å.
Space group P4/mmm (No. 123)
One atom of each set of equivalent atoms:
1 Sc 0.0000 0.0000 0.0000  8 Pt 2.87
2 Sc 0.0000 0.0000 0.1963  8 Pt 2.86-2.87
3 Sc 0.0000 0.0000 0.3919  4 Pt 2.84, 4 Ag 2.96
4 Ag 0.5000 0.5000 0.5000  8 Sc 2.96, 4 Ag 3.29
5 Pt 0.5000 0.5000 0.0987  8 Sc 2.86-2.87
6 Pt 0.5000 0.5000 0.2957  8 Sc 2.84-2.87



Record 24
A relaxed ScAg2Pt crystal, computed with PBE.

Values from the calculation:
E_form	-0.44	eV per atom

a = 3.9500 Å, b = 3.9500 Å, c = 4.5772 Å
α = 90.00°, β = 90.00°, γ = 90.00°
Last column: nearest neighbours and their distance in Å.
Space group P4/mmm (No. 123)
One atom of each set of equivalent atoms:
1 Sc 0.0000 0.0000 0.0000  4 Pt 2.79, 8 Ag 3.02
2 Ag 0.0000 0.5000 0.5000  4 Ag 2.79, 4 Sc 3.02, 4 Pt 3.02
3 Pt 0.5000 0.5000 0.0000  4 Sc 2.79, 8 Ag 3.02



Record 25
A relaxed ScAg2Pt crystal, computed with PBE.

Values from the calculation:
E_form	-0.54	eV per atom

a = 3.9505 Å, b = 3.9505 Å, c = 8.9804 Å
α = 90.00°, β = 90.00°, γ = 90.00°
Last column: nearest neighbours and their distance in Å.
Space group I4/mmm (No. 139)
One atom of each set of equivalent atoms:
1 Sc 0.0000 0.0000 0.0000  4 Pt 2.79, 8 Ag 2.99
2 Ag 0.0000 0.5000 0.2500  4 Ag 2.79, 4 Sc 2.99, 4 Pt 2.99
3 Pt 0.0000 0.0000 0.5000  4 Sc 2.79, 8 Ag 2.99



Record 26
A relaxed ScAgPt4 crystal, computed with PBE.

Values from the calculation:
E_form	-0.58	eV per atom

a = 7.4867 Å, b = 7.4867 Å, c = 7.4867 Å
α = 90.00°, β = 90.00°, γ = 90.00°
Last column: nearest neighbours and their distance in Å.
Space group F-43m (No. 216)
One atom of each set of equivalent atoms:
1 Sc 0.0000 0.0000 0.0000  12 Pt 3.10, 4 Ag 3.24
2 Ag 0.2500 0.2500 0.7500  12 Pt 3.10, 4 Sc 3.24
3 Pt 0.1247 0.1247 0.3753  6 Pt 2.64-2.65



Record 27
A relaxed ScAgPt crystal, computed with PBE.

Values from the calculation:
energy above the lowest structure with this stoichiometry	0.130	eV per atom
E_form	-0.65	eV per atom

a = 9.8967 Å, b = 3.4475 Å, c = 6.9198 Å
α = 90.00°, β = 109.93°, γ = 90.00°
Last column: nearest neighbours and their distance in Å.
Space group C2/m (No. 12)
One atom of each set of equivalent atoms:
1 Sc 0.1639 0.0000 0.1272  5 Pt 2.72-2.83, 3 Ag 2.95-2.96
2 Ag 0.1470 0.0000 0.5459  3 Ag 2.76-2.90, 4 Pt 2.94-3.07, 3 Sc 2.95-2.96
3 Pt 0.0437 0.5000 0.8100  5 Sc 2.72-2.83, 2 Ag 2.94, 1 Pt 3.03



Result set for total energy: -4.070; -4.308; -3.791; -4.495; -4.746; -4.017; -2.816; -3.409; -5.668; -6.472; -5.803; -4.525; -6.807; -6.049; -5.555; -5.518; -6.642; -5.644; -4.996; -6.330; -5.910; -6.515; -6.919; -4.963; -5.057; -6.141; -5.725 eV/atom, one per record in the order listed.